Entry 1:
The following is a DFT calculation (PBE-GGA) of an optimized crystal structure of LiPuInFe.

The total energy comes out at -108.6 eV per cell. The calculation puts the energy relative to the elements at 0.3 eV/f.u. The density of states at the Fermi level is 38.122 states/eV per cell. The value obtained for the calculated volume is 18.73 A^3/atom.

The structure belongs to space group F-43m (No. 216); the cell edges are 6.692, 6.692 and 6.692 Å and the angles 90.00°, 90.00° and 90.00°. The distinct sites, in fractional coordinates, are Li at (0.000, 0.000, 0.000), Pu at (0.250, 0.250, 0.250), In at (0.250, 0.250, 0.750) and Fe at (0.000, 0.000, 0.500).

***

Entry 2:
The following is a DFT calculation (PBE-GGA) of an optimized crystal structure of AlVCu2H.

The total energy comes out at -24.7 eV per cell. The density of states at the Fermi level is 1.839 states/eV per cell. The value obtained for the calculated volume is 10.93 A^3/atom.

The structure belongs to space group P4/mmm (No. 123); the cell edges are 3.771, 3.771 and 3.844 Å and the angles 90.00°, 90.00° and 90.00°. The distinct sites, in fractional coordinates, are Al at (0.000, 0.000, 0.000), V at (0.500, 0.500, 0.000), Cu at (0.000, 0.500, 0.500) and H at (0.500, 0.500, 0.500).

***

Entry 3:
The following is a DFT calculation (PBE-GGA) of an optimized crystal structure of Pm11Sm4Tm9.

The total energy comes out at -219.9 eV per cell. The calculation puts the energy relative to the elements at 1.4 eV/f.u. The density of states at the Fermi level is 59.859 states/eV per cell. The value obtained for the calculated volume is 32.86 A^3/atom.

The structure belongs to space group Cmmm (No. 65); the cell edges are 16.836, 25.413 and 3.686 Å and the angles 90.00°, 90.00° and 90.00°. The distinct sites, in fractional coordinates, are Pm at (0.000, 0.000, 0.000), Pm at (0.000, 0.160, 0.000), Pm at (0.000, 0.366, 0.000), Pm at (0.210, 0.500, 0.000), Pm at (0.226, 0.181, 0.000), Sm at (0.155, 0.399, 0.500), Tm at (0.000, 0.500, 0.500), Tm at (0.101, 0.265, 0.500) and Tm at (0.139, 0.073, 0.500).

***

Entry 4:
The following is a DFT calculation (PBE-GGA) of an optimized crystal structure of SrFeAs2.

The total energy comes out at -40.6 eV per cell. The calculation puts the energy relative to the elements at -0.9 eV/f.u. The density of states at the Fermi level is 6.637 states/eV per cell. The value obtained for the calculated volume is 21.14 A^3/atom.

The structure belongs to space group Imm2 (No. 44); the cell edges are 3.266, 3.670 and 14.110 Å and the angles 90.00°, 90.00° and 90.00°. The distinct sites, in fractional coordinates, are Sr at (0.000, 0.000, 0.000), Fe at (0.000, 0.500, 0.257), As at (0.000, 0.000, 0.634) and As at (0.000, 0.500, 0.821).

***

Entry 5:
The following is a DFT calculation (PBE-GGA) of an optimized crystal structure of K2Tl6InPt.

The total energy comes out at -153.6 eV per cell. The calculation puts the energy relative to the elements at -0.4 eV/f.u. The density of states at the Fermi level is 39.810 states/eV per cell. The value obtained for the calculated volume is 33.86 A^3/atom.

The structure belongs to space group R-3m (No. 166, hexagonal axes); the cell edges are 7.7518, 7.7518 and 39.0360 Å and the angles 90.00°, 90.00° and 120.00°. The distinct sites, in fractional coordinates, are K at (0.0000, 0.0000, 0.1026), K at (0.0000, 0.0000, 0.2784), Tl at (0.0477, 0.5238, 0.3040), Tl at (0.0569, 0.5284, 0.8629), In at (0.0000, 0.0000, 0.4269), Pt at (0.0000, 0.0000, 0.0000) and Pt at (0.0000, 0.0000, 0.5000).

***

Entry 6:
The following is a DFT calculation (PBE-GGA) of an optimized crystal structure of YHfZr2H.

The total energy comes out at -37.0 eV per cell. The value obtained for the energy above the most stable polymorph in this dataset is 0 meV/atom. The density of states at the Fermi level is 6.067 states/eV per cell. The value obtained for the calculated volume is 19.93 A^3/atom.

The structure belongs to space group P4/mmm (No. 123); the cell edges are 4.594, 4.594 and 4.722 Å and the angles 90.00°, 90.00° and 90.00°. The distinct sites, in fractional coordinates, are Y at (0.000, 0.000, 0.000), Hf at (0.500, 0.500, 0.000), Zr at (0.000, 0.500, 0.500) and H at (0.000, 0.000, 0.500).

***

Entry 7:
The following is a DFT calculation (PBE-GGA) of an optimized crystal structure of YAsRu2.

The total energy comes out at -30.6 eV per cell. The calculation puts the energy relative to the elements at -0.9 eV/f.u. The density of states at the Fermi level is 2.744 states/eV per cell. The value obtained for the calculated volume is 17.52 A^3/atom.

The structure belongs to space group Pm (No. 6); the cell edges are 3.183, 4.517 and 5.045 Å and the angles 90.00°, 105.01° and 90.00°. The distinct sites, in fractional coordinates, are Y at (0.000, 0.000, 0.000), As at (0.587, 0.500, 0.256), Ru at (0.255, 0.500, 0.666) and Ru at (0.635, 0.000, 0.483).

***

Entry 8:
The following is a DFT calculation (PBE-GGA) of an optimized crystal structure of NiAsSe2.

The total energy comes out at -34.8 eV per cell. The value obtained for the formation energy (no corrections) is 2 meV/atom. The density of states at the Fermi level is 4.198 states/eV per cell. The value obtained for the calculated volume is 17.91 A^3/atom.

The structure belongs to space group Cmmm (No. 65); the cell edges are 5.177, 7.649 and 3.619 Å and the angles 90.00°, 90.00° and 90.00°. The distinct sites, in fractional coordinates, are Ni at (0.000, 0.000, 0.000), As at (0.000, 0.500, 0.000) and Se at (0.000, 0.217, 0.500).

***

Entry 9:
The following is a DFT calculation (PBE-GGA) of an optimized crystal structure of ThPaPt.

The total energy comes out at -24.0 eV per cell. The calculation puts the energy relative to the elements at -1.1 eV/f.u. The value obtained for the energy above the most stable polymorph in this dataset is 282 meV/atom. The density of states at the Fermi level is 4.453 states/eV per cell. The value obtained for the calculated volume is 24.84 A^3/atom.

The structure belongs to space group P3m1 (No. 156); the cell edges are 4.7771, 4.7771 and 3.7713 Å and the angles 90.00°, 90.00° and 120.00°. The distinct sites, in fractional coordinates, are Th at (0.0000, 0.0000, 0.0000), Pa at (0.3333, 0.6667, 0.3734) and Pt at (0.6667, 0.3333, 0.5681).

***

Entry 10:
The following is a DFT calculation (PBE-GGA) of an optimized crystal structure of Co5Ni5Ir2.

The total energy comes out at -163.6 eV per cell. The calculation puts the energy relative to the elements at 0.3 eV/f.u. The density of states at the Fermi level is 32.303 states/eV per cell. The value obtained for the calculated volume is 11.63 A^3/atom.

The structure belongs to space group C2/m (No. 12); the cell edges are 10.781, 3.640 and 7.979 Å and the angles 90.00°, 116.93° and 90.00°. The distinct sites, in fractional coordinates, are Co at (0.000, 0.000, 0.000), Co at (0.087, 0.000, 0.759), Co at (0.249, 0.500, 0.758), Ni at (0.000, 0.500, 0.500), Ni at (0.079, 0.500, 0.239), Ni at (0.166, 0.500, 0.999) and Ir at (0.164, 0.000, 0.502).

***

Entry 11:
The following is a DFT calculation (PBE-GGA) of an optimized crystal structure of Y2CN.

The total energy comes out at -121.8 eV per cell. The value obtained for the formation energy (no corrections) is 4 meV/atom. The value obtained for the energy above the most stable polymorph in this dataset is 796 meV/atom. The density of states at the Fermi level is 12.176 states/eV per cell. The value obtained for the calculated volume is 14.44 A^3/atom.

The structure belongs to space group Fm-3m (No. 225); the cell edges are 6.136, 6.136 and 6.136 Å and the angles 90.00°, 90.00° and 90.00°. The distinct sites, in fractional coordinates, are Y at (0.250, 0.250, 0.250), C at (0.000, 0.000, 0.000) and N at (0.000, 0.000, 0.500).

***

Entry 12:
The following is a DFT calculation (PBE-GGA) of an optimized crystal structure of Ac2TbSn.

The total energy comes out at -70.0 eV per cell. The calculation puts the energy relative to the elements at -0.7 eV/f.u. The value obtained for the energy above the most stable polymorph in this dataset is 158 meV/atom. The density of states at the Fermi level is 20.841 states/eV per cell. The value obtained for the calculated volume is 35.63 A^3/atom.

The structure belongs to space group Fm-3m (No. 225); the cell edges are 8.292, 8.292 and 8.292 Å and the angles 90.00°, 90.00° and 90.00°. The distinct sites, in fractional coordinates, are Ac at (0.250, 0.250, 0.250), Tb at (0.000, 0.000, 0.000) and Sn at (0.000, 0.000, 0.500).